16
Lattice="-0.9668 -3.0969 -2.3965 3.2736 -1.9937 1.2558 -8.5583 -6.5480 11.9140" Properties=species:S:1:pos:R:3 comment="PBE-GGA ScPa3Rh12, relaxed" spacegroup="No. 123" magmom_total_mub_per_fu=0.0 formation_energy_ev_per_atom=-0.82 dos_ef_per_ev_atom=0.964 final_energy_ev_per_cell=-136.19 pbc="T T T"
Pa -6.4644 -4.9460 8.9991
Rh 1.1534 -2.5453 -0.5704
Pa -2.0939 -1.6020 2.9149
Rh -8.0064 -7.3043 9.2745
Sc 0.0000 0.0000 0.0000
Rh -3.7275 -5.1011 8.0956
Rh -5.8477 -5.6527 6.2694
Rh -1.5186 -2.3405 0.2429
Rh -5.2912 -7.4761 8.4012
Rh -5.8863 -6.7528 11.1007
Rh -3.1257 -5.8193 5.3866
Rh -3.6774 -3.9921 3.2480
Pa -4.2792 -3.2740 5.9570
Rh -1.5572 -3.4406 5.0742
Rh -0.9603 -4.1625 2.3721
Rh 0.6015 -1.7889 2.0691